K2Ni2O3: relaxed, GGA+U.

Results
total DFT energy (no corrections)	-4.22	eV/atom

a = 5.974 Å, b = 5.974 Å, c = 5.762 Å
α = 109.29°, β = 109.29°, γ = 37.49°
Fractional positions:
1 K 0.100 0.100 0.319
2 K 0.900 0.900 0.681
3 Ni 0.347 0.347 0.076
4 Ni 0.653 0.653 0.924
5 O 0.174 0.174 0.821
6 O 0.500 0.500 0.000
7 O 0.826 0.826 0.179